1.
First-principles (PBE) data for a relaxed AsRhS2N crystal, as listed in Alexandria via LeMat-Bulk.

The structure in POSCAR format:
```
AsRhS2N
1.0
4.845 0.000 0.000
0.000 4.845 0.000
0.000 0.000 3.634
As Rh S N
1 1 2 1
Direct
0.000 0.000 0.000
0.500 0.500 0.500
0.000 0.500 0.500
0.500 0.000 0.500
0.500 0.500 0.000
```

Results
Its polymorph energy (0 for the lowest one) is 0.000 eV per formula unit. Its symmetry is No. 123.

2.
First-principles (PBE) data for a relaxed AsRhS2N crystal, as listed in Alexandria via LeMat-Bulk.

The structure in POSCAR format:
```
AsRhS2N
1.0
4.796 0.000 0.000
0.000 4.796 0.000
0.000 0.000 3.470
As Rh S N
1 1 2 1
Direct
0.000 0.000 0.000
0.500 0.500 0.500
0.000 0.500 0.000
0.500 0.000 0.000
0.000 0.000 0.500
```

Results
Its polymorph energy (0 for the lowest one) is 2.556 eV per formula unit. Its symmetry is No. 123.

3.
First-principles (PBE) data for a relaxed AsRhSN2 crystal, as listed in Alexandria via LeMat-Bulk.

The structure in POSCAR format:
```
AsRhSN2
1.0
3.534 0.000 0.000
0.000 3.534 0.000
0.000 0.000 6.575
As Rh S N
1 1 1 2
Direct
0.000 0.000 0.000
0.500 0.500 0.500
0.000 0.000 0.500
0.000 0.500 0.000
0.500 0.000 0.000
```

Results
Its symmetry is No. 123.

4.
First-principles (PBE) data for a relaxed AsRhSe2N crystal, as listed in Alexandria via LeMat-Bulk.

The structure in POSCAR format:
```
AsRhSe2N
1.0
5.078 0.000 0.000
0.000 5.078 0.000
0.000 0.000 3.488
As Rh Se N
1 1 2 1
Direct
0.000 0.000 0.000
0.500 0.500 0.500
0.000 0.500 0.000
0.500 0.000 0.000
0.000 0.000 0.500
```

Results
Its polymorph energy (0 for the lowest one) is 2.559 eV per formula unit. Its symmetry is No. 123.

5.
First-principles (PBE) data for a relaxed AsRhSe2N crystal, as listed in Alexandria via LeMat-Bulk.

The structure in POSCAR format:
```
AsRhSe2N
1.0
4.313 0.000 0.000
0.000 4.313 0.000
0.000 0.000 4.295
As Rh Se N
1 1 2 1
Direct
0.000 0.000 0.000
0.500 0.500 0.000
0.000 0.500 0.500
0.500 0.000 0.500
0.000 0.000 0.500
```

Results
Its polymorph energy (0 for the lowest one) is 1.778 eV per formula unit. Its symmetry is No. 123.

6.
First-principles (PBE) data for a relaxed AsRhSe2N crystal, as listed in Alexandria via LeMat-Bulk.

The structure in POSCAR format:
```
AsRhSe2N
1.0
5.049 0.000 0.000
0.000 5.049 0.000
0.000 0.000 4.643
As Rh Se N
1 1 2 1
Direct
0.000 0.000 0.000
0.000 0.000 0.500
0.000 0.500 0.500
0.500 0.000 0.500
0.500 0.500 0.000
```

Results
Its polymorph energy (0 for the lowest one) is 4.477 eV per formula unit. Its symmetry is No. 123.

7.
First-principles (PBE) data for a relaxed AsRhSe2N crystal, as listed in Alexandria via LeMat-Bulk.

The structure in POSCAR format:
```
AsRhSe2N
1.0
5.096 0.000 0.000
0.000 5.096 0.000
0.000 0.000 3.648
As Rh Se N
1 1 2 1
Direct
0.000 0.000 0.000
0.500 0.500 0.500
0.000 0.500 0.500
0.500 0.000 0.500
0.500 0.500 0.000
```

Results
Its polymorph energy (0 for the lowest one) is 0.000 eV per formula unit. Its symmetry is No. 123.

8.
First-principles (PBE) data for a relaxed AsRhSeN2 crystal, as listed in Alexandria via LeMat-Bulk.

The structure in POSCAR format:
```
AsRhSeN2
1.0
3.828 0.000 0.000
0.000 3.828 0.000
0.000 0.000 5.447
As Rh Se N
1 1 1 2
Direct
0.000 0.000 0.000
0.500 0.500 0.500
0.500 0.500 0.000
0.000 0.500 0.500
0.500 0.000 0.500
```

Results
Its polymorph energy (0 for the lowest one) is 0.000 eV per formula unit. Its symmetry is No. 123.

9.
First-principles (PBE) data for a relaxed AsRhSeN2 crystal, as listed in Alexandria via LeMat-Bulk.

The structure in POSCAR format:
```
AsRhSeN2
1.0
3.590 0.000 0.000
0.000 3.590 0.000
0.000 0.000 7.321
As Rh Se N
1 1 1 2
Direct
0.000 0.000 0.000
0.500 0.500 0.500
0.000 0.000 0.500
0.000 0.500 0.000
0.500 0.000 0.000
```

Results
Its polymorph energy (0 for the lowest one) is 1.213 eV per formula unit. Its symmetry is No. 123.

10.
First-principles (PBE) data for a relaxed SiAsRhN2 crystal, as listed in Alexandria via LeMat-Bulk.

The structure in POSCAR format:
```
SiAsRhN2
1.0
3.774 0.000 0.000
0.000 3.774 0.000
0.000 0.000 5.254
Si As Rh N
1 1 1 2
Direct
0.000 0.000 0.000
0.500 0.500 0.000
0.000 0.000 0.500
0.000 0.500 0.500
0.500 0.000 0.500
```

Results
Its symmetry is No. 123.

11.
First-principles (PBE) data for a relaxed SmAsRhN crystal, as listed in Alexandria via LeMat-Bulk.

The structure in POSCAR format:
```
SmAsRhN
1.0
3.934 0.000 0.000
0.000 3.934 0.000
0.000 0.000 8.600
Sm As Rh N
2 2 2 2
Direct
0.250 0.250 0.152
0.750 0.750 0.848
0.250 0.250 0.666
0.750 0.750 0.334
0.250 0.750 0.500
0.750 0.250 0.500
0.250 0.250 0.885
0.750 0.750 0.115
```

Results
Its symmetry is No. 129.

12.
First-principles (PBE) data for a relaxed Sr2As2Rh2N crystal, as listed in Alexandria via LeMat-Bulk.

The structure in POSCAR format:
```
Sr2As2Rh2N
1.0
4.026 0.000 0.000
1.998 5.908 0.000
2.001 1.816 5.993
Sr As Rh N
2 2 2 1
Direct
0.058 0.176 0.208
0.942 0.824 0.792
0.319 0.638 0.220
0.681 0.362 0.780
0.313 0.304 0.571
0.687 0.696 0.429
0.500 0.000 0.500
```

Results
Its symmetry is No. 2.

no.,raw formation energy (kJ per mole of atoms),total energy (eV/cell)
1,61,-25.44
2,110,-22.89
3,137,-25.69
4,101,-22.06
5,86,-22.85
6,138,-20.15
7,52,-24.62
8,109,-26.50
9,132,-25.29
10,110,-28.38
11,-81,-56.85
12,-67,-40.55